No. 1
This record from Alexandria describes Sb2PIr at its PBEsol-relaxed geometry. The functional is SCAN.

```
Sb2PIr
1.0
3.293 0.000 0.000
0.000 4.809 0.032
0.000 -0.874 4.729
Sb Ir P
2 1 1
Direct
0.000 0.500 0.000 Sb
0.000 0.000 0.500 Sb
0.500 0.000 0.000 Ir
0.500 0.500 0.500 P
```

No. 2
This record from Alexandria describes SbP4Ir at its PBEsol-relaxed geometry. The functional is SCAN.

```
SbP4Ir
1.0
-1.103 -0.842 4.904
-1.639 -4.590 1.492
3.017 -2.993 2.813
Ir P Sb
1 4 1
Direct
0.000 0.000 0.000 Ir
0.372 0.372 0.372 P
0.372 0.372 0.885 P
0.885 0.372 0.372 P
0.372 0.885 0.372 P
0.750 0.750 0.750 Sb
```

Let's list formation energy without anion corrections in order: 0.615; 1.145 eV per atom.